No. 1
Compound: Pr7NdDy3
Source: the Alexandria database
Functional: PBE
Structure: optimized geometry

a = 7.2896 Å, b = 7.2896 Å, c = 8.7394 Å
α = 90.00°, β = 90.00°, γ = 120.00°
Last column: nearest neighbours and their distance in Å.
Space group P3m1 (No. 156)
One atom of each set of equivalent atoms:
Pr 0.0000 0.0000 0.0000  9 Pr 3.61-3.65, 3 Dy 3.65
Pr 0.9999 0.5000 0.0177  2 Dy 3.53, 1 Nd 3.61, 8 Pr 3.64-3.73
Pr 0.1668 0.3335 0.6649  2 Dy 3.52, 7 Pr 3.61-3.73, 2 Nd 3.65
Nd 0.6667 0.3333 0.6823  9 Pr 3.61-3.65, 3 Dy 3.64
Dy 0.3337 0.1668 0.3417  5 Pr 3.52-3.65, 4 Dy 3.64-3.65, 1 Nd 3.64

Properties
- density of states at the Fermi level (states/eV per cell) = 17.24
- spin magnetization (μB per formula unit) = 0.000
- distance to the lowest polymorph of the same formula (meV per atom) = 0
- crystal system = trigonal

***

No. 2
Compound: PrNd5Dy3
Source: the Alexandria database
Functional: PBE
Structure: optimized geometry

a = 20.4201 Å, b = 6.2528 Å, c = 11.6733 Å
α = 90.00°, β = 121.87°, γ = 90.00°
Last column: nearest neighbours and their distance in Å.
Space group C2/c (No. 15)
One atom of each set of equivalent atoms:
Pr 0.0000 0.1273 0.2500  2 Nd 3.01-3.24, 2 Dy 3.02
Nd 0.0000 0.3908 0.7500  2 Pr 3.01-3.24
Nd 0.1398 0.3223 0.1506  2 Dy 3.16-3.45
Nd 0.1803 0.1913 0.8374  5 Nd 3.41-3.72, 2 Dy 3.45-3.54, 1 Pr 3.82
Dy 0.0000 0.0000 0.0000  2 Pr 3.02, 2 Nd 3.16
Dy 0.1788 0.2196 0.5327  2 Dy 3.40-3.73, 1 Pr 3.44, 4 Nd 3.45-3.60

Properties
- density of states at the Fermi level (states/eV per cell) = 51.84
- spin magnetization (μB per formula unit) = 0.000
- distance to the lowest polymorph of the same formula (meV per atom) = 0
- crystal system = monoclinic

***

No. 3
Compound: Pr2Nd12Dy5
Source: the Alexandria database
Functional: PBE
Structure: optimized geometry

a = 18.1399 Å, b = 11.7958 Å, c = 6.2736 Å
α = 90.00°, β = 102.65°, γ = 90.00°
Last column: nearest neighbours and their distance in Å.
Space group C2/m (No. 12)
One atom of each set of equivalent atoms:
Pr 0.0000 0.2258 0.0000  8 Nd 3.39-3.70
Nd 0.0567 0.5000 0.2746  6 Nd 3.61-3.94, 2 Pr 3.70, 2 Dy 3.76-3.83
Nd 0.1040 0.2498 0.6143  1 Pr 3.39, 6 Nd 3.41-3.76, 3 Dy 3.45-3.64
Nd 0.1234 0.0000 0.9960  4 Dy 3.41-3.56, 4 Nd 3.48-3.76, 2 Pr 3.48
Nd 0.1990 0.2588 0.2011  6 Nd 3.41-3.81, 3 Dy 3.46-3.72, 1 Pr 3.57
Dy 0.0000 0.0000 0.5000  6 Nd 3.41-3.49
Dy 0.1773 0.5000 0.8579  9 Nd 3.45-3.85, 2 Dy 3.54-3.82
Dy 0.2142 0.0000 0.5476  8 Nd 3.46-3.72, 3 Dy 3.54-3.83

Properties
- density of states at the Fermi level (states/eV per cell) = 52.82
- spin magnetization (μB per formula unit) = 0.000
- distance to the lowest polymorph of the same formula (meV per atom) = 0
- crystal system = monoclinic

***

No. 4
Compound: Pr7Nd12Dy
Source: the Alexandria database
Functional: PBE
Structure: optimized geometry

a = 12.4226 Å, b = 12.4226 Å, c = 16.1619 Å
α = 90.00°, β = 90.00°, γ = 120.00°
Last column: nearest neighbours and their distance in Å.
Space group R-3 (No. 148, hexagonal axes)
One atom of each set of equivalent atoms:
Pr 0.0000 0.0000 0.0000  6 Nd 3.38
Pr 0.0568 0.8698 0.2938  3 Pr 3.52-3.57, 7 Nd 3.64-3.88, 1 Dy 3.92
Nd 0.0244 0.5776 0.2216  3 Nd 3.30-3.49, 1 Dy 3.53, 2 Pr 3.64-3.69
Nd 0.0556 0.4665 0.5814  4 Nd 3.27-3.49, 1 Pr 3.38
Dy 0.0000 0.0000 0.5000  6 Nd 3.53, 6 Pr 3.92

Properties
- density of states at the Fermi level (states/eV per cell) = 120.73
- spin magnetization (μB per formula unit) = 0.001
- distance to the lowest polymorph of the same formula (meV per atom) = 0
- crystal system = trigonal

***

No. 5
Compound: PrNdDy3
Source: the Alexandria database
Functional: PBE
Structure: optimized geometry

a = 6.5451 Å, b = 6.5576 Å, c = 9.6458 Å
α = 90.43°, β = 108.59°, γ = 119.66°
Last column: nearest neighbours and their distance in Å.
Space group P-1 (No. 2)
One atom of each set of equivalent atoms:
Pr 0.0000 0.0000 0.0000  6 Dy 3.41-3.78, 2 Nd 3.42
Pr 0.0000 0.5000 0.5000  2 Nd 3.18, 4 Dy 3.27-3.28
Nd 0.2902 0.4424 0.3087  2 Pr 3.18-3.42, 4 Dy 3.37-3.45
Dy 0.1332 0.1407 0.6873  2 Pr 3.27-3.41, 3 Dy 3.37-3.49, 2 Nd 3.38-3.45
Dy 0.3106 0.6534 0.9552  7 Dy 3.62-3.94, 2 Nd 3.67-3.71, 3 Pr 3.78-3.83
Dy 0.4486 0.0161 0.3123  2 Pr 3.28-3.43, 4 Dy 3.37-3.62, 2 Nd 3.37-3.43

Properties
- density of states at the Fermi level (states/eV per cell) = 13.28
- spin magnetization (μB per formula unit) = 0.000
- distance to the lowest polymorph of the same formula (meV per atom) = 0
- crystal system = triclinic

***

No. 6
Compound: PrNd5Dy2
Source: the Alexandria database
Functional: PBE
Structure: optimized geometry

a = 7.2366 Å, b = 10.1564 Å, c = 8.0988 Å
α = 90.00°, β = 102.97°, γ = 90.00°
Last column: nearest neighbours and their distance in Å.
Space group P2_1/m (No. 11)
One atom of each set of equivalent atoms:
Pr 0.0706 0.2500 0.2848  4 Dy 3.53-3.66, 6 Nd 3.58-3.69
Nd 0.2497 0.5258 0.0000  5 Nd 3.44-3.66, 2 Dy 3.48-3.61, 1 Pr 3.67
Nd 0.4079 0.0929 0.6403  5 Nd 3.19-3.57, 1 Dy 3.38
Nd 0.4381 0.7500 0.7272  8 Nd 3.55-3.95, 2 Pr 3.58-3.66, 2 Dy 3.76
Dy 0.0908 0.5918 0.3660  2 Dy 3.21-3.35, 3 Nd 3.38-3.60, 1 Pr 3.53

Properties
- density of states at the Fermi level (states/eV per cell) = 23.75
- spin magnetization (μB per formula unit) = 0.000
- distance to the lowest polymorph of the same formula (meV per atom) = 215
- crystal system = monoclinic

***

What did the second record say?
Compound: PrNd5Dy3
Source: the Alexandria database
Functional: PBE
Structure: optimized geometry

a = 20.4201 Å, b = 6.2528 Å, c = 11.6733 Å
α = 90.00°, β = 121.87°, γ = 90.00°
Last column: nearest neighbours and their distance in Å.
Space group C2/c (No. 15)
One atom of each set of equivalent atoms:
Pr 0.0000 0.1273 0.2500  2 Nd 3.01-3.24, 2 Dy 3.02
Nd 0.0000 0.3908 0.7500  2 Pr 3.01-3.24
Nd 0.1398 0.3223 0.1506  2 Dy 3.16-3.45
Nd 0.1803 0.1913 0.8374  5 Nd 3.41-3.72, 2 Dy 3.45-3.54, 1 Pr 3.82
Dy 0.0000 0.0000 0.0000  2 Pr 3.02, 2 Nd 3.16
Dy 0.1788 0.2196 0.5327  2 Dy 3.40-3.73, 1 Pr 3.44, 4 Nd 3.45-3.60

Properties
- density of states at the Fermi level (states/eV per cell) = 51.84
- spin magnetization (μB per formula unit) = 0.000
- distance to the lowest polymorph of the same formula (meV per atom) = 0
- crystal system = monoclinic

***

> Which value of distance to the lowest polymorph of the same formula does entry 2 give?

0 meV per atom

***

> The highest density of states at the Fermi level belongs to which entry?

Pr7Nd12Dy

***

> Which formula does entry 6 have?

PrNd5Dy2